The following is a DFT calculation (PBE-GGA) of a geometry-optimized KCoAs2Ir structure.

The energy of formation from the pure elements is -423 meV per atom.

abc: 3.922 3.922 13.733
angles: 90.00 90.00 90.00
Fractional coordinates of all 10 atoms:
K  0.000  0.000  0.000
K  0.500  0.500  0.500
Co  0.000  0.500  0.250
Co  0.500  0.000  0.750
As  0.000  0.000  0.351
As  0.000  0.000  0.649
As  0.500  0.500  0.149
As  0.500  0.500  0.851
Ir  0.000  0.500  0.750
Ir  0.500  0.000  0.250